1.
Compound: Nd8In3Sn2
Source: Alexandria
Functional: PBE-GGA
Structure: optimized geometry

**DOS at the Fermi energy**: 0.94 states/eV/atom
**Energy of formation from the pure elements**: -0.33 eV/atom

Structure (CIF):
```
data_Nd8In3Sn2
_space_group_name_H-M_alt 'C m m m'
_space_group_IT_number 65
_space_group_name_Hall '-C 2 2'
_cell_length_a 9.1614
_cell_length_b 16.2081
_cell_length_c 5.7110
_cell_angle_alpha 90.00
_cell_angle_beta 90.00
_cell_angle_gamma 90.00
loop_
_atom_site_label
_atom_site_type_symbol
_atom_site_fract_x
_atom_site_fract_y
_atom_site_fract_z
Nd1 Nd 0.0000 0.1055 0.0000
Nd2 Nd 0.0000 0.3113 0.0000
Nd3 Nd 0.2068 0.3816 0.5000
In1 In 0.0000 0.0000 0.5000
In2 In 0.1726 0.5000 0.0000
Sn1 Sn 0.0000 0.2210 0.5000
```

=====

2.
Compound: Er2TmSi6
Source: Alexandria
Functional: PBE-GGA
Structure: optimized geometry

**ΔE_f (raw)**: -488 meV/atom
**DOS at the Fermi energy**: 0.42 states/eV/atom

Structure (CIF):
```
data_Er2TmSi6
_space_group_name_H-M_alt 'P 6/m m m'
_space_group_IT_number 191
_space_group_name_Hall '-P 6 2'
_cell_length_a 7.0987
_cell_length_b 7.0987
_cell_length_c 3.8470
_cell_angle_alpha 90.00
_cell_angle_beta 90.00
_cell_angle_gamma 120.00
loop_
_atom_site_label
_atom_site_type_symbol
_atom_site_fract_x
_atom_site_fract_y
_atom_site_fract_z
Er1 Er 0.3333 0.6667 0.0000
Tm1 Tm 0.0000 0.0000 0.0000
Si1 Si 0.0000 0.3330 0.5000
```

=====

3.
Compound: TbPr5SmY2
Source: Alexandria
Functional: PBE-GGA
Structure: optimized geometry

**DOS at the Fermi energy**: 1.60 states/eV/atom
**Energy of formation from the pure elements**: 0.14 eV/atom

Structure (CIF):
```
data_TbPr5SmY2
_space_group_name_H-M_alt 'C m c 21'
_space_group_IT_number 36
_cell_length_a 5.7329
_cell_length_b 20.6513
_cell_length_c 10.7779
_cell_angle_alpha 90.00
_cell_angle_beta 90.00
_cell_angle_gamma 90.00
loop_
_space_group_symop_operation_xyz
'x,y,z'
'-x,-y,z+1/2'
'-x,y,z'
'x,-y,z+1/2'
'x+1/2,y+1/2,z'
'-x+1/2,-y+1/2,z+1/2'
'-x+1/2,y+1/2,z'
'x+1/2,-y+1/2,z+1/2'
loop_
_atom_site_label
_atom_site_type_symbol
_atom_site_fract_x
_atom_site_fract_y
_atom_site_fract_z
Tb1 Tb 0.0000 0.0907 0.0000
Pr1 Pr 0.0000 0.0196 0.2847
Pr2 Pr 0.0000 0.1097 0.5653
Pr3 Pr 0.0000 0.2046 0.2436
Pr4 Pr 0.0000 0.2189 0.8513
Pr5 Pr 0.0000 0.4831 0.5611
Sm1 Sm 0.0000 0.2993 0.5501
Y1 Y 0.0000 0.3834 0.8572
Y2 Y 0.0000 0.3887 0.2778
```

=====

4.
Compound: Ce3ZnGa5
Source: Alexandria
Functional: PBE-GGA
Structure: optimized geometry

**DOS at the Fermi energy**: 1.45 states/eV/atom
**Energy of formation from the pure elements**: -0.41 eV/atom

Structure (CIF):
```
data_Ce3ZnGa5
_space_group_name_H-M_alt 'P 63/m c m'
_space_group_IT_number 193
_space_group_name_Hall '-P 6c 2'
_cell_length_a 8.5743
_cell_length_b 8.5743
_cell_length_c 6.1577
_cell_angle_alpha 90.00
_cell_angle_beta 90.00
_cell_angle_gamma 120.00
loop_
_atom_site_label
_atom_site_type_symbol
_atom_site_fract_x
_atom_site_fract_y
_atom_site_fract_z
Ce1 Ce 0.0000 0.3508 0.2500
Zn1 Zn 0.0000 0.0000 0.0000
Ga1 Ga 0.0000 0.3138 0.7500
Ga2 Ga 0.3333 0.6667 0.0000
```

=====

5.
Compound: La2PmEr4Sc
Source: Alexandria
Functional: PBE-GGA
Structure: optimized geometry

**DOS at the Fermi energy**: 2.32 states/eV/atom
**Energy of formation from the pure elements**: 0.40 eV/atom

Structure (CIF):
```
data_La2PmEr4Sc
_space_group_name_H-M_alt 'I m m a'
_space_group_IT_number 74
_space_group_name_Hall '-I 2b 2'
_cell_length_a 6.7510
_cell_length_b 11.7861
_cell_length_c 13.1081
_cell_angle_alpha 90.00
_cell_angle_beta 90.00
_cell_angle_gamma 90.00
loop_
_atom_site_label
_atom_site_type_symbol
_atom_site_fract_x
_atom_site_fract_y
_atom_site_fract_z
La1 La 0.0000 0.0000 0.0000
La2 La 0.2500 0.2500 0.2500
Pm1 Pm 0.0000 0.0000 0.5000
Er1 Er 0.0000 0.0186 0.7499
Er2 Er 0.2485 0.2500 0.5151
Sc1 Sc 0.2500 0.2500 0.7500
```

=====

6.
Compound: KBaNa2Pt
Source: Alexandria
Functional: PBE-GGA
Structure: optimized geometry

**DOS at the Fermi energy**: 0.49 states/eV/atom
**Energy of formation from the pure elements**: -0.12 eV/atom

Structure (CIF):
```
data_KBaNa2Pt
_space_group_name_H-M_alt 'P 4/m m m'
_space_group_IT_number 123
_space_group_name_Hall '-P 4 2'
_cell_length_a 5.9526
_cell_length_b 5.9526
_cell_length_c 5.9723
_cell_angle_alpha 90.00
_cell_angle_beta 90.00
_cell_angle_gamma 90.00
loop_
_atom_site_label
_atom_site_type_symbol
_atom_site_fract_x
_atom_site_fract_y
_atom_site_fract_z
K1 K 0.0000 0.0000 0.0000
Ba1 Ba 0.5000 0.5000 0.0000
Na1 Na 0.0000 0.5000 0.5000
Pt1 Pt 0.5000 0.5000 0.5000
```

=====

7.
Compound: ErRe6
Source: Alexandria
Functional: PBE-GGA
Structure: optimized geometry

**ΔE to the lowest computed polymorph**: 1.074 eV/atom
**DOS at the Fermi energy**: 0.85 states/eV/atom
**Energy of formation from the pure elements**: 1.09 eV/atom

Structure (CIF):
```
data_ErRe6
_space_group_name_H-M_alt 'I m -3 m'
_space_group_IT_number 229
_space_group_name_Hall '-I 4 2 3'
_cell_length_a 6.8871
_cell_length_b 6.8871
_cell_length_c 6.8871
_cell_angle_alpha 90.00
_cell_angle_beta 90.00
_cell_angle_gamma 90.00
loop_
_atom_site_label
_atom_site_type_symbol
_atom_site_fract_x
_atom_site_fract_y
_atom_site_fract_z
Er1 Er 0.0000 0.0000 0.0000
Re1 Re 0.0000 0.2500 0.5000
```

=====

8.
Compound: TbCeOs
Source: Alexandria
Functional: PBE-GGA
Structure: optimized geometry

**ΔE to the lowest computed polymorph**: 0.187 eV/atom
**DOS at the Fermi energy**: 1.52 states/eV/atom
**Energy of formation from the pure elements**: -0.06 eV/atom

Structure (CIF):
```
data_TbCeOs
_space_group_name_H-M_alt 'P 1 21/c 1'
_space_group_IT_number 14
_cell_length_a 6.5781
_cell_length_b 7.5653
_cell_length_c 7.1353
_cell_angle_alpha 90.00
_cell_angle_beta 112.93
_cell_angle_gamma 90.00
loop_
_space_group_symop_operation_xyz
'x,y,z'
'-x,-y,-z'
'-x,y+1/2,-z+1/2'
'x,-y+1/2,z+1/2'
loop_
_atom_site_label
_atom_site_type_symbol
_atom_site_fract_x
_atom_site_fract_y
_atom_site_fract_z
Tb1 Tb 0.2135 0.1668 0.0570
Ce1 Ce 0.2738 0.6663 0.9571
Os1 Os 0.0576 0.5679 0.2093
```

=====

9.
Compound: RbV3Os
Source: Alexandria
Functional: PBE-GGA
Structure: optimized geometry

**ΔE to the lowest computed polymorph**: 1.671 eV/atom
**DOS at the Fermi energy**: 1.09 states/eV/atom
**Energy of formation from the pure elements**: 2.83 eV/atom

Structure (CIF):
```
data_RbV3Os
_space_group_name_H-M_alt 'P m -3 m'
_space_group_IT_number 221
_space_group_name_Hall '-P 4 2 3'
_cell_length_a 4.3946
_cell_length_b 4.3946
_cell_length_c 4.3946
_cell_angle_alpha 90.00
_cell_angle_beta 90.00
_cell_angle_gamma 90.00
loop_
_atom_site_label
_atom_site_type_symbol
_atom_site_fract_x
_atom_site_fract_y
_atom_site_fract_z
Rb1 Rb 0.0000 0.0000 0.0000
V1 V 0.0000 0.0000 0.5000
Os1 Os 0.5000 0.5000 0.5000
```

=====

10.
Compound: LiTm2ThTe4
Source: Alexandria
Functional: PBE-GGA
Structure: optimized geometry

**ΔE_f (raw)**: -1163 meV/atom
**DOS at the Fermi energy**: 0.61 states/eV/atom

Structure (CIF):
```
data_LiTm2ThTe4
_space_group_name_H-M_alt 'P 1 2/m 1'
_space_group_IT_number 10
_cell_length_a 7.4509
_cell_length_b 4.2847
_cell_length_c 7.6673
_cell_angle_alpha 90.00
_cell_angle_beta 108.56
_cell_angle_gamma 90.00
loop_
_space_group_symop_operation_xyz
'x,y,z'
'-x,-y,-z'
'-x,y,-z'
'x,-y,z'
loop_
_atom_site_label
_atom_site_type_symbol
_atom_site_fract_x
_atom_site_fract_y
_atom_site_fract_z
Li1 Li 0.0000 0.0000 0.0000
Tm1 Tm 0.5000 0.0000 0.5000
Tm2 Tm 0.5000 0.5000 0.0000
Th1 Th 0.0000 0.5000 0.5000
Te1 Te 0.2515 0.5000 0.2417
Te2 Te 0.2559 0.0000 0.7658
```

=====

Number 1: mass density 6.798 g/cm³. Number 2: mass density 6.646 g/cm³. Number 3: mass density 6.203 g/cm³. Number 4: mass density 7.068 g/cm³. Number 5: mass density 7.240 g/cm³. Number 6: mass density 3.276 g/cm³. Number 7: mass density 13.059 g/cm³. Number 8: mass density 9.938 g/cm³. Number 9: mass density 8.384 g/cm³. Number 10: mass density 7.781 g/cm³.